HoZrNp, relaxed, DFT PBE; D(E_F) = 5.56 states/eV/f.u.; VASP energy = -8.471 eV per atom
1.0
-2.128 0.792 2.612
-4.355 -2.138 -2.901
2.989 -7.007 2.267
Np Zr Ho
2 2 2
direct
0.761 0.146 0.521 Np
0.239 0.854 0.479 Np
0.576 0.840 0.151 Zr
0.424 0.160 0.849 Zr
0.899 0.655 0.798 Ho
0.101 0.345 0.202 Ho

***

HoZr2Np, relaxed, DFT PBE; D(E_F) = 9.21 states/eV/f.u.; energy relative to the lowest polymorph listed for this composition = 0.10 eV per formula unit
1.0
-1.143 3.345 1.281
-3.571 -1.169 -0.133
0.528 -2.373 6.668
Np Ho Zr
1 1 2
direct
0.500 0.500 0.000 Np
0.500 0.500 0.500 Ho
0.000 0.000 0.789 Zr
0.000 0.000 0.211 Zr

***

HoZr2Np, relaxed, DFT PBE; D(E_F) = 9.23 states/eV/f.u.; energy relative to the lowest polymorph listed for this composition = 0.00 eV per formula unit
1.0
-1.658 -1.641 -2.289
1.576 -1.260 -2.572
1.522 -10.102 3.806
Np Ho Zr
1 1 2
direct
0.000 0.000 0.000 Np
0.500 0.500 0.500 Ho
0.253 0.253 0.240 Zr
0.747 0.747 0.760 Zr

***

Ho2O3, relaxed, DFT PBE; D(E_F) = 0.00 states/eV/f.u.; raw formation energy = -3570.9 meV per atom
1.0
7.218 0.002 0.000
6.377 3.382 0.000
1.501 0.374 8.470
Ho O
6 9
direct
0.635 0.635 0.512 Ho
0.365 0.365 0.488 Ho
0.691 0.691 0.863 Ho
0.309 0.309 0.137 Ho
0.968 0.968 0.814 Ho
0.032 0.032 0.186 Ho
0.128 0.128 0.718 O
0.872 0.872 0.282 O
0.825 0.825 0.969 O
0.175 0.175 0.031 O
0.794 0.794 0.623 O
0.206 0.206 0.377 O
0.471 0.471 0.657 O
0.529 0.529 0.343 O
0.500 0.500 0.000 O

***

Ho2O3, relaxed, DFT PBE; D(E_F) = 0.00 states/eV/f.u.; raw formation energy = -3616.5 meV per atom
1.0
9.188 0.000 0.000
-3.063 8.662 0.000
-3.063 -4.331 7.502
Ho O
16 24
direct
0.000 0.000 0.500 Ho
0.000 0.500 0.000 Ho
0.500 0.500 0.500 Ho
0.500 0.000 0.000 Ho
0.750 0.717 0.967 Ho
0.250 0.783 0.533 Ho
0.467 0.750 0.217 Ho
0.033 0.250 0.283 Ho
0.717 0.467 0.250 Ho
0.783 0.033 0.750 Ho
0.250 0.283 0.033 Ho
0.750 0.217 0.467 Ho
0.533 0.250 0.783 Ho
0.967 0.750 0.717 Ho
0.283 0.533 0.750 Ho
0.217 0.967 0.250 Ho
0.031 0.271 0.543 O
0.228 0.489 0.957 O
0.272 0.229 0.260 O
0.469 0.011 0.240 O
0.043 0.031 0.771 O
0.457 0.228 0.989 O
0.760 0.272 0.729 O
0.740 0.469 0.511 O
0.271 0.043 0.531 O
0.489 0.457 0.728 O
0.229 0.760 0.772 O
0.011 0.740 0.969 O
0.969 0.729 0.457 O
0.772 0.511 0.043 O
0.728 0.771 0.740 O
0.531 0.989 0.760 O
0.957 0.969 0.229 O
0.543 0.772 0.011 O
0.240 0.728 0.271 O
0.260 0.531 0.489 O
0.729 0.957 0.469 O
0.511 0.543 0.272 O
0.771 0.240 0.228 O
0.989 0.260 0.031 O

***

Ho2O3, relaxed, DFT PBE; D(E_F) = 1.61 states/eV/f.u.; raw formation energy = -3117.0 meV per atom
1.0
-2.731 -0.165 4.563
0.657 -5.276 0.203
4.519 0.668 2.728
Ho O
4 6
direct
0.750 0.750 0.250 Ho
0.250 0.750 0.750 Ho
0.750 0.250 0.750 Ho
0.250 0.250 0.250 Ho
0.000 0.000 0.500 O
0.000 0.500 0.500 O
0.500 0.000 0.000 O
0.500 0.500 0.000 O
0.000 0.500 0.000 O
0.500 0.000 0.500 O

***

| no. | calculated volume (Å³/cell) | ρ (g/cm³) |
| --- | --- | --- |
| 1 | 150.9 | 10.85 |
| 2 | 100.3 | 9.67 |
| 3 | 99.3 | 9.77 |
| 4 | 206.6 | 9.11 |
| 5 | 597.1 | 8.41 |
| 6 | 150.6 | 8.33 |